No. 1
# HfTaNi4 | Alexandria via LeMat-Bulk | PBE | optimized geometry
data_HfTaNi4
_chemical_formula_sum 'Hf2 Ta2 Ni8'
_cell_length_a 4.5308
_cell_length_b 7.9998
_cell_length_c 6.4708
_cell_angle_alpha 128.18
_cell_angle_beta 110.49
_cell_angle_gamma 90.00
_symmetry_space_group_name_H-M 'P 1'
_symmetry_Int_Tables_number 1
_symmetry_space_group_name_Hall 'P 1'
loop_
_atom_site_label
_atom_site_type_symbol
_atom_site_fract_x
_atom_site_fract_y
_atom_site_fract_z
_atom_site_occupancy
Hf1 Hf 0.5005 0.5005 0.0010 1
Hf2 Hf 0.7495 0.2495 0.4990 1
Ta1 Ta 0.0007 0.0007 0.0014 1
Ta2 Ta 0.2493 0.7493 0.4986 1
Ni1 Ni 0.2437 0.0760 0.4873 1
Ni2 Ni 0.4918 0.1553 0.9835 1
Ni3 Ni 0.4917 0.8281 0.9835 1
Ni4 Ni 0.2436 0.4113 0.4873 1
Ni5 Ni 0.0064 0.3387 0.0127 1
Ni6 Ni 0.7583 0.9219 0.5165 1
Ni7 Ni 0.7582 0.5947 0.5165 1
Ni8 Ni 0.0063 0.6740 0.0127 1
# - Space-group type: Imma (74)
# - Total magnetic moment: 0.00 μB per formula unit
# - Excess energy over the best structure of this formula in the dataset: 0 meV/atom
# - ΔH_f (0 K): -0.399 eV/atom
# - Crystal system: orthorhombic


No. 2
# Hf2TaNi | Alexandria via LeMat-Bulk | PBE | optimized geometry
data_Hf2TaNi
_chemical_formula_sum 'Hf2 Ta1 Ni1'
_cell_length_a 4.6646
_cell_length_b 4.6646
_cell_length_c 4.6646
_cell_angle_alpha 60.00
_cell_angle_beta 60.00
_cell_angle_gamma 60.00
_symmetry_space_group_name_H-M 'P 1'
_symmetry_Int_Tables_number 1
_symmetry_space_group_name_Hall 'P 1'
loop_
_atom_site_label
_atom_site_type_symbol
_atom_site_fract_x
_atom_site_fract_y
_atom_site_fract_z
_atom_site_occupancy
Ni1 Ni 0.0000 0.0000 0.0000 1
Hf1 Hf 0.2500 0.2500 0.2500 1
Hf2 Hf 0.7500 0.7500 0.7500 1
Ta1 Ta 0.5000 0.5000 0.5000 1
# - Space-group type: Fm-3m (225)
# - Total magnetic moment: 0.00 μB per formula unit
# - Excess energy over the best structure of this formula in the dataset: 181 meV/atom
# - ΔH_f (0 K): -0.002 eV/atom
# - Crystal system: cubic